Computed, not measured: a relaxed structure of Pr16Dy7Ho6 at the PBE level of DFT.

The structure in POSCAR format:
```
Pr16Dy7Ho6
1.0
0.000 8.041 8.041
8.041 0.000 8.041
8.041 8.041 0.000
Pr Dy Ho
16 7 6
Cartesian
10.433 5.648 5.648 Pr
2.010 2.010 2.010 Pr
6.030 6.030 2.010 Pr
6.030 2.010 6.030 Pr
5.648 5.648 5.648 Pr
10.433 10.433 5.648 Pr
10.433 5.648 10.433 Pr
14.071 10.051 10.051 Pr
2.010 6.030 6.030 Pr
5.648 10.433 5.648 Pr
5.648 5.648 10.433 Pr
10.433 10.433 10.433 Pr
10.051 14.071 10.051 Pr
10.051 10.051 14.071 Pr
14.071 14.071 14.071 Pr
5.648 10.433 10.433 Pr
0.000 0.000 0.000 Dy
4.020 4.020 0.000 Dy
4.020 0.000 4.020 Dy
8.041 4.020 4.020 Dy
0.000 4.020 4.020 Dy
4.020 8.041 4.020 Dy
4.020 4.020 8.041 Dy
8.041 8.041 4.239 Ho
8.041 4.239 8.041 Ho
11.842 8.041 8.041 Ho
4.239 8.041 8.041 Ho
8.041 11.842 8.041 Ho
8.041 8.041 11.842 Ho
```

Output
Size of the total moment, μB/atom: 0.000
E_form, meV per atom: 205
Total DFT energy (no corrections), eV/atom: -4.49
Symmetry: Fm-3m, No. 225
D(E_F), states/eV/cell: 39.6